No. 1
First-principles (PBE-GGA) data for crystalline Sc3AlO at its relaxed geometry, as listed in Alexandria via LeMat-Bulk.

extended XYZ file:
```
10
Lattice="2.8157 1.6257 6.9246 -2.8157 1.6257 6.9246 0.0000 -3.2513 6.9246" Properties=species:S:1:pos:R:3 pbc="T T T"
Sc -1.0021 -1.6653 9.1300
Sc -1.9432 0.0352 11.6439
Sc -0.9411 1.7005 9.1300
Sc 0.9411 -1.7005 11.6439
Sc 1.9432 -0.0352 9.1300
Sc 1.0021 1.6653 11.6439
Al 0.0000 0.0000 6.9797
Al 0.0000 0.0000 13.7942
O 0.0000 0.0000 3.3523
O 0.0000 0.0000 17.4217
```

Density of states at the Fermi level (states/eV per cell): 7.45
Formation energy (no corrections) (meV per atom): -1125
Raw total energy (eV per formula unit): -33.32
Crystal system: trigonal

No. 2
First-principles (PBE-GGA) data for crystalline Pa5W at its relaxed geometry, as listed in Alexandria via LeMat-Bulk.

extended XYZ file:
```
6
Lattice="2.1749 -6.2025 0.0000 2.1749 6.2025 0.0000 0.0000 0.0000 5.1563" Properties=species:S:1:pos:R:3 pbc="T T T"
Pa 0.0000 0.0000 0.0000
Pa 2.1749 4.2497 2.5782
Pa 2.1749 1.9971 0.0000
Pa 2.1749 -1.9971 0.0000
Pa 2.1749 -4.2497 2.5782
W 2.1749 0.0000 2.5782
```

Density of states at the Fermi level (states/eV per cell): 10.71
Raw total energy (eV per formula unit): -59.32
Crystal system: orthorhombic
Energy relative to the elements (eV per formula unit): 1.1

No. 3
First-principles (PBE-GGA) data for crystalline Nb2CuRu2 at its relaxed geometry, as listed in Alexandria via LeMat-Bulk.

extended XYZ file:
```
10
Lattice="7.4893 0.0000 0.0000 0.0000 7.4893 0.0000 0.0000 0.0000 2.9898" Properties=species:S:1:pos:R:3 pbc="T T T"
Nb 1.1230 2.6217 0.0000
Nb 2.6217 6.3663 0.0000
Nb 4.8676 1.1230 0.0000
Nb 6.3663 4.8676 0.0000
Cu 0.0000 0.0000 0.0000
Cu 3.7446 3.7446 0.0000
Ru 1.1129 4.8575 1.4949
Ru 2.6317 1.1129 1.4949
Ru 4.8575 6.3764 1.4949
Ru 6.3764 2.6317 1.4949
```

Density of states at the Fermi level (states/eV per cell): 7.10
Raw total energy (eV per formula unit): -41.97
Crystal system: tetragonal
Energy relative to the lowest polymorph listed for this composition (kJ/mol of atoms): 13.3
Energy relative to the elements (eV per formula unit): 0.8

No. 4
First-principles (PBE-GGA) data for crystalline KAlAg at its relaxed geometry, as listed in Alexandria via LeMat-Bulk.

extended XYZ file:
```
3
Lattice="-1.5069 2.1447 6.1797 1.5069 -2.1447 6.1797 1.5069 2.1447 -6.1797" Properties=species:S:1:pos:R:3 pbc="T T T"
K 0.0000 0.0000 0.0000
Al 0.0000 0.0000 3.4570
Ag 0.0000 0.0000 8.9443
```

Density of states at the Fermi level (states/eV per cell): 1.30
Raw total energy (eV per formula unit): -7.39
Crystal system: orthorhombic
Energy relative to the lowest polymorph listed for this composition (kJ/mol of atoms): 0.8
Energy relative to the elements (eV per formula unit): 0.3

No. 5
First-principles (PBE-GGA) data for crystalline ScCu at its relaxed geometry, as listed in Alexandria via LeMat-Bulk.

extended XYZ file:
```
4
Lattice="3.7364 0.0000 0.0000 -1.8682 3.2358 0.0000 0.0000 0.0000 6.4276" Properties=species:S:1:pos:R:3 pbc="T T T"
Sc 0.0000 2.1572 1.6069
Sc 1.8682 1.0786 4.8207
Cu 0.0000 0.0000 0.0000
Cu 0.0000 0.0000 3.2138
```

Density of states at the Fermi level (states/eV per cell): 3.72
Raw total energy (eV per formula unit): -10.42
Crystal system: hexagonal
Energy relative to the elements (eV per formula unit): 0.0

No. 6
First-principles (PBE-GGA) data for crystalline KNaRu2O8 at its relaxed geometry, as listed in Alexandria via LeMat-Bulk.

extended XYZ file:
```
12
Lattice="5.4030 -3.0217 0.0000 5.4030 3.0217 0.0000 -2.4815 0.0000 6.4619" Properties=species:S:1:pos:R:3 pbc="T T T"
K 0.0000 0.0000 0.0000
Na 4.1622 0.0000 3.2309
Ru 0.5862 0.0000 4.3628
Ru 7.7383 0.0000 2.0991
O 3.2315 1.6027 1.5831
O 0.6498 0.0000 2.6151
O 5.0929 1.6027 4.8788
O 2.2286 0.0000 4.9679
O 6.0958 0.0000 1.4939
O 3.2315 -1.6027 1.5831
O 7.6746 0.0000 3.8468
O 5.0929 -1.6027 4.8788
```

Density of states at the Fermi level (states/eV per cell): 7.47
Formation energy (no corrections) (meV per atom): -1057
Raw total energy (eV per formula unit): -73.32
Crystal system: monoclinic

No. 7
First-principles (PBE-GGA) data for crystalline AsSe2SN at its relaxed geometry, as listed in Alexandria via LeMat-Bulk.

extended XYZ file:
```
5
Lattice="4.3163 0.0000 0.0000 0.0000 4.3163 0.0000 0.0000 0.0000 4.5941" Properties=species:S:1:pos:R:3 pbc="T T T"
As 0.0000 0.0000 0.0000
Se 0.0000 2.1582 2.2970
Se 2.1582 0.0000 2.2970
S 2.1582 2.1582 0.0000
N 0.0000 0.0000 2.2970
```

Density of states at the Fermi level (states/eV per cell): 3.68
Formation energy (no corrections) (meV per atom): 1122
Raw total energy (eV per formula unit): -18.46
Crystal system: tetragonal
Energy relative to the lowest polymorph listed for this composition (kJ/mol of atoms): 14.0

No. 8
First-principles (PBE-GGA) data for crystalline Ca2B10Ru at its relaxed geometry, as listed in Alexandria via LeMat-Bulk.

extended XYZ file:
```
26
Lattice="5.7171 0.0000 0.0000 0.0000 11.4913 0.0000 0.0000 0.0000 4.1985" Properties=species:S:1:pos:R:3 pbc="T T T"
Ca 1.1962 1.5582 0.0000
Ca 1.6624 7.3038 0.0000
Ca 4.0547 4.1875 0.0000
Ca 4.5209 9.9331 0.0000
B 0.3097 3.5432 2.0993
B 0.6695 10.9788 2.0993
B 0.7960 9.2160 2.0993
B 1.2491 4.3751 0.8303
B 1.2491 4.3751 3.3682
B 1.6095 10.1208 0.8303
B 1.6095 10.1208 3.3682
B 2.0625 3.4703 2.0993
B 2.1890 5.2332 2.0993
B 2.5489 9.2889 2.0993
B 3.1682 2.2025 2.0993
B 3.5281 6.2582 2.0993
B 3.6546 8.0210 2.0993
B 4.1076 1.3705 0.8303
B 4.1076 1.3705 3.3682
B 4.4680 7.1162 0.8303
B 4.4680 7.1162 3.3682
B 4.9210 2.2754 2.0993
B 5.0476 0.5125 2.0993
B 5.4074 7.9481 2.0993
Ru 0.0000 5.7457 2.0993
Ru 2.8585 0.0000 2.0993
```

Density of states at the Fermi level (states/eV per cell): 7.73
Raw total energy (eV per formula unit): -84.06
Crystal system: orthorhombic
Energy relative to the elements (eV per formula unit): -4.0

No. 9
First-principles (PBE-GGA) data for crystalline TbNd2Dy3 at its relaxed geometry, as listed in Alexandria via LeMat-Bulk.

extended XYZ file:
```
12
Lattice="5.1740 -5.7388 0.0000 5.1740 5.7388 0.0000 -0.0412 0.0000 6.7043" Properties=species:S:1:pos:R:3 pbc="T T T"
Tb 0.0000 0.0000 0.0000
Tb -0.0206 0.0000 3.3521
Nd 3.4063 3.0365 5.0373
Nd 6.8798 3.0365 5.0191
Nd 3.4269 -3.0365 1.6852
Nd 6.9004 -3.0365 1.6670
Dy 5.1637 2.6802 1.6761
Dy 3.4329 0.0076 3.3473
Dy 3.4123 -0.0076 6.6995
Dy 6.8944 0.0076 0.0048
Dy 6.8738 -0.0076 3.3570
Dy 5.1430 -2.6802 5.0282
```

Density of states at the Fermi level (states/eV per cell): 20.38
Raw total energy (eV per formula unit): -26.83
Crystal system: monoclinic
Energy relative to the lowest polymorph listed for this composition (kJ/mol of atoms): 8.9
Energy relative to the elements (eV per formula unit): 1.1

No. 10
First-principles (PBE-GGA) data for crystalline TbCe2SmBi5 at its relaxed geometry, as listed in Alexandria via LeMat-Bulk.

extended XYZ file:
```
9
Lattice="5.5384 0.0000 0.0000 0.0000 5.5384 0.0000 0.0000 0.0000 11.9146" Properties=species:S:1:pos:R:3 pbc="T T T"
Tb 0.0000 0.0000 0.0000
Ce 2.7692 2.7692 3.3696
Ce 2.7692 2.7692 8.5450
Sm 0.0000 0.0000 5.9573
Bi 0.0000 0.0000 2.9232
Bi 0.0000 0.0000 8.9914
Bi 0.0000 2.7692 5.9573
Bi 2.7692 0.0000 5.9573
Bi 2.7692 2.7692 0.0000
```

Density of states at the Fermi level (states/eV per cell): 18.24
Raw total energy (eV per formula unit): -41.01
Crystal system: tetragonal
Energy relative to the elements (eV per formula unit): -0.4

No. 11
First-principles (PBE-GGA) data for crystalline In4Hg6Pb at its relaxed geometry, as listed in Alexandria via LeMat-Bulk.

extended XYZ file:
```
11
Lattice="-4.0508 4.0508 5.2036 4.0508 -4.0508 5.2036 4.0508 4.0508 -5.2036" Properties=species:S:1:pos:R:3 pbc="T T T"
In 2.4098 2.4098 -0.6282
In 1.6410 -1.6410 5.8318
In 1.6410 1.6410 4.5755
In -1.6410 1.6410 5.8318
Hg 4.0508 0.0000 0.0000
Hg 1.0918 -1.0918 2.9081
Hg -1.0918 1.0918 2.9081
Hg 0.0000 4.0508 0.0000
Hg 2.9590 2.9590 2.2956
Hg 1.0918 1.0918 7.4992
Pb 0.0000 0.0000 0.0000
```

Density of states at the Fermi level (states/eV per cell): 4.09
Raw total energy (eV per formula unit): -15.51
Crystal system: tetragonal
Energy relative to the lowest polymorph listed for this composition (kJ/mol of atoms): 6.6
Energy relative to the elements (eV per formula unit): 1.0

No. 12
First-principles (PBE-GGA) data for crystalline ZrOsNF2 at its relaxed geometry, as listed in Alexandria via LeMat-Bulk.

extended XYZ file:
```
5
Lattice="4.4231 0.0000 0.0000 0.0000 4.4231 0.0000 0.0000 0.0000 3.7296" Properties=species:S:1:pos:R:3 pbc="T T T"
Zr 0.0000 0.0000 0.0000
Os 2.2116 2.2116 1.8648
N 2.2116 2.2116 0.0000
F 0.0000 2.2116 1.8648
F 2.2116 0.0000 1.8648
```

Density of states at the Fermi level (states/eV per cell): 3.28
Formation energy (no corrections) (meV per atom): -199
Raw total energy (eV per formula unit): -32.84
Crystal system: tetragonal
Energy relative to the lowest polymorph listed for this composition (kJ/mol of atoms): 21.0

No. 13
First-principles (PBE-GGA) data for crystalline PuTiBi2 at its relaxed geometry, as listed in Alexandria via LeMat-Bulk.

extended XYZ file:
```
4
Lattice="3.5610 0.0000 0.0000 0.0000 3.5610 0.0000 0.0000 0.0000 8.0549" Properties=species:S:1:pos:R:3 pbc="T T T"
Pu 0.0000 0.0000 0.0000
Ti 0.0000 0.0000 4.0275
Bi 1.7805 1.7805 2.2688
Bi 1.7805 1.7805 5.7861
```

Density of states at the Fermi level (states/eV per cell): 9.15
Raw total energy (eV per formula unit): -30.54
Crystal system: tetragonal
Energy relative to the lowest polymorph listed for this composition (kJ/mol of atoms): 0.0
Energy relative to the elements (eV per formula unit): -0.6

No. 14
First-principles (PBE-GGA) data for crystalline PmHo7Tl5 at its relaxed geometry, as listed in Alexandria via LeMat-Bulk.

extended XYZ file:
```
13
Lattice="-3.2471 5.4182 5.4143 3.2471 -5.4182 5.4143 3.2471 5.4182 -5.4143" Properties=species:S:1:pos:R:3 pbc="T T T"
Pm 0.0000 0.0000 0.0000
Ho 3.2471 2.1292 -0.2852
Ho 3.2471 0.0000 2.3242
Ho 3.2471 -1.7121 5.3027
Ho 0.0000 0.0000 3.7535
Ho 3.2471 1.7121 5.3027
Ho 0.0000 0.0000 7.1498
Ho 0.0000 3.2890 5.1291
Tl 1.6278 2.5971 2.4884
Tl 4.8664 2.5971 2.4884
Tl 0.0000 5.4182 2.7246
Tl -1.6193 2.8212 7.9028
Tl 1.6193 2.8212 7.9028
```

Density of states at the Fermi level (states/eV per cell): 15.66
Raw total energy (eV per formula unit): -50.53
Crystal system: orthorhombic
Energy relative to the elements (eV per formula unit): -1.9

No. 15
First-principles (PBE-GGA) data for crystalline Ca2CeZrO6 at its relaxed geometry, as listed in Alexandria via LeMat-Bulk.

extended XYZ file:
```
20
Lattice="5.7321 0.0000 0.0000 0.0000 5.9583 0.0000 -5.7155 0.0000 8.3065" Properties=species:S:1:pos:R:3 pbc="T T T"
Ca -0.0794 0.3085 2.1035
Ca -2.9372 2.6706 6.2567
Ca 2.9538 3.2877 2.0498
Ca 0.0961 5.6498 6.2031
Ce 2.8661 0.0000 0.0000
Ce 0.0083 2.9792 4.1533
Zr -2.8577 0.0000 4.1533
Zr 0.0000 2.9792 0.0000
O -4.6535 1.2131 7.7275
O -1.7958 1.7660 3.5742
O -3.9946 4.1031 7.7982
O -1.1369 4.8344 3.6450
O -2.1548 0.3414 6.1529
O 0.7029 2.6377 1.9997
O -0.6863 3.3206 6.3069
O 2.1715 5.6169 2.1536
O 1.1535 1.1239 4.6616
O 4.0112 1.8552 0.5083
O 1.8124 4.1923 4.7324
O 4.6702 4.7452 0.5791
```

Density of states at the Fermi level (states/eV per cell): 0.00
Formation energy (no corrections) (meV per atom): -3217
Raw total energy (eV per formula unit): -80.41
Crystal system: monoclinic

No. 16
First-principles (PBE-GGA) data for crystalline VCr2P2 at its relaxed geometry, as listed in Alexandria via LeMat-Bulk.

extended XYZ file:
```
5
Lattice="-2.1209 2.1209 3.7971 2.1209 -2.1209 3.7971 2.1209 2.1209 -3.7971" Properties=species:S:1:pos:R:3 pbc="T T T"
V 0.0000 0.0000 0.0000
Cr 0.0000 0.0000 2.8176
Cr 0.0000 0.0000 4.7767
P 2.1209 0.0000 1.8986
P 0.0000 2.1209 1.8986
```

Density of states at the Fermi level (states/eV per cell): 5.04
Raw total energy (eV per formula unit): -38.83
Crystal system: tetragonal
Energy relative to the lowest polymorph listed for this composition (kJ/mol of atoms): 43.2
Energy relative to the elements (eV per formula unit): 0.4

No. 17
First-principles (PBE-GGA) data for crystalline PrScSe3 at its relaxed geometry, as listed in Alexandria via LeMat-Bulk.

extended XYZ file:
```
20
Lattice="8.4979 0.0000 0.0000 0.0000 3.9948 0.0000 0.0000 0.0000 14.7105" Properties=species:S:1:pos:R:3 pbc="T T T"
Pr 1.1753 0.9987 2.8657
Pr 3.0737 2.9961 10.2209
Pr 5.4243 0.9987 4.4896
Pr 7.3226 2.9961 11.8449
Sc 1.5213 2.9961 6.7373
Sc 2.7276 0.9987 14.0926
Sc 5.7703 2.9961 0.6180
Sc 6.9766 0.9987 7.9733
Se 8.4967 0.9987 5.7005
Se 0.0012 2.9961 9.0100
Se 1.3167 0.9987 11.7534
Se 1.3685 2.9961 0.6134
Se 2.8805 0.9987 7.9686
Se 2.9323 2.9961 4.3981
Se 4.2477 0.9987 1.6547
Se 4.2502 2.9961 13.0558
Se 5.5656 0.9987 10.3125
Se 5.6174 2.9961 6.7419
Se 7.1294 0.9987 14.0972
Se 7.1813 2.9961 2.9572
```

Density of states at the Fermi level (states/eV per cell): 0.04
Formation energy (no corrections) (meV per atom): -1783
Raw total energy (eV per formula unit): -30.48
Crystal system: orthorhombic
Energy relative to the lowest polymorph listed for this composition (kJ/mol of atoms): 0.0

No. 18
First-principles (PBE-GGA) data for crystalline Zn3GePt at its relaxed geometry, as listed in Alexandria via LeMat-Bulk.

extended XYZ file:
```
5
Lattice="4.7999 0.0000 0.0000 0.0000 4.7999 0.0000 0.0000 0.0000 4.7999" Properties=species:S:1:pos:R:3 pbc="T T T"
Zn 0.0000 0.0000 2.3999
Zn 0.0000 2.3999 0.0000
Zn 2.3999 0.0000 0.0000
Ge 2.3999 2.3999 2.3999
Pt 0.0000 0.0000 0.0000
```

Density of states at the Fermi level (states/eV per cell): 2.18
Raw total energy (eV per formula unit): -13.39
Crystal system: cubic
Energy relative to the lowest polymorph listed for this composition (kJ/mol of atoms): 0.0
Energy relative to the elements (eV per formula unit): 1.1

No. 19
First-principles (PBE-GGA) data for crystalline La2CdHg4 at its relaxed geometry, as listed in Alexandria via LeMat-Bulk.

extended XYZ file:
```
7
Lattice="2.6094 1.5066 8.6261 -2.6094 1.5066 8.6261 0.0000 -3.0131 8.6261" Properties=species:S:1:pos:R:3 pbc="T T T"
La 0.0000 0.0000 6.3920
La 0.0000 0.0000 19.4862
Cd 0.0000 0.0000 12.9391
Hg 0.0000 0.0000 3.1342
Hg 0.0000 0.0000 9.6135
Hg 0.0000 0.0000 16.2647
Hg 0.0000 0.0000 22.7440
```

Density of states at the Fermi level (states/eV per cell): 4.09
Raw total energy (eV per formula unit): -14.56
Crystal system: trigonal
Energy relative to the lowest polymorph listed for this composition (kJ/mol of atoms): 0.0
Energy relative to the elements (eV per formula unit): -2.6

No. 20
First-principles (PBE-GGA) data for crystalline PmErAg4 at its relaxed geometry, as listed in Alexandria via LeMat-Bulk.

extended XYZ file:
```
6
Lattice="2.6659 -4.6776 0.0000 2.6659 4.6776 0.0000 -0.0084 0.0000 5.3272" Properties=species:S:1:pos:R:3 pbc="T T T"
Pm 0.0000 0.0000 0.0000
Er 2.6617 0.0000 2.6636
Ag 2.6617 3.0490 2.6636
Ag 2.6659 1.5714 0.0000
Ag 2.6659 -1.5714 0.0000
Ag 2.6617 -3.0490 2.6636
```

Density of states at the Fermi level (states/eV per cell): 2.97
Raw total energy (eV per formula unit): -22.44
Crystal system: monoclinic
Energy relative to the lowest polymorph listed for this composition (kJ/mol of atoms): 0.1
Energy relative to the elements (eV per formula unit): -1.7